# 1
Density functional theory data (PBE) for crystalline Ce4Bi2N at its relaxed geometry.

Unit cell a=6.5085 b=6.6294 c=9.5790 alpha=90.00 beta=108.71 gamma=90.00
Closest atoms and distances in Å follow each position.
Space group P2_1/m (No. 11)
Inequivalent atoms, fractional coordinates:
Ce 0.2032 0.2500 0.0285  1 N 2.33
Ce 0.2507 0.7500 0.3456  1 N 2.26
Ce 0.2594 0.5293 0.7062  1 N 2.28
Bi 0.2502 0.2500 0.3953  8 Ce 3.35-3.49
Bi 0.3205 0.7500 0.0324  7 Ce 3.18-3.40
N 0.1100 0.2500 0.7726  4 Ce 2.26-2.33

* Fermi-level density of states: 43.804 states/eV per cell
* uncorrected formation energy: -0.84 eV per atom
* calculated total energy: -6.5304 eV/atom
* ΔE to the lowest computed polymorph: 0.27 eV/f.u.

***

# 2
Density functional theory data (PBE) for crystalline BaReNO2 at its relaxed geometry.

Unit cell a=4.5041 b=4.5041 c=4.7014 alpha=90.00 beta=90.00 gamma=90.00
Closest atoms and distances in Å follow each position.
Space group P4/mmm (No. 123)
Inequivalent atoms, fractional coordinates:
Ba 0.0000 0.0000 0.0000  4 O 2.25, 2 N 2.35
Re 0.5000 0.5000 0.5000  4 N 3.18, 8 O 3.26
N 0.0000 0.0000 0.5000  2 Ba 2.35
O 0.0000 0.5000 0.0000  2 Ba 2.25

* Fermi-level density of states: 10.369 states/eV per cell
* uncorrected formation energy: 2.08 eV per atom
* calculated total energy: -4.4470 eV/atom

***

# 3
Density functional theory data (PBE) for crystalline Mg8In5Pd at its relaxed geometry.

Unit cell a=8.9045 b=8.9045 c=8.3632 alpha=90.00 beta=90.00 gamma=90.00
Closest atoms and distances in Å follow each position.
Space group I-4 (No. 82)
Inequivalent atoms, fractional coordinates:
Mg 0.0323 0.3374 0.0457  1 Pd 2.88, 2 Mg 2.95-3.00, 2 In 3.04-3.07
Mg 0.1297 0.2402 0.7179  1 Pd 2.60
In 0.0000 0.0000 0.0000  8 Mg 3.04-3.39
In 0.0763 0.1837 0.3716  6 Mg 2.95-3.27, 2 In 3.30
Pd 0.0000 0.5000 0.7500  8 Mg 2.60-2.88

* Fermi-level density of states: 9.238 states/eV per cell
* calculated total energy: -2.3628 eV/atom
* energy of formation: -1.44 eV per formula unit

***

# 4
Density functional theory data (PBE) for crystalline SrHgPb2 at its relaxed geometry.

Unit cell a=4.9060 b=4.9414 c=4.9898 alpha=90.00 beta=90.00 gamma=90.00
Closest atoms and distances in Å follow each position.
Space group Pmmm (No. 47)
Inequivalent atoms, fractional coordinates:
Sr 0.0000 0.0000 0.0000  8 Pb 3.48-3.50, 4 Hg 3.51
Hg 0.0000 0.5000 0.5000  8 Pb 3.48-3.50, 4 Sr 3.51
Pb 0.5000 0.0000 0.5000  4 Hg 3.48, 4 Sr 3.50, 4 Pb 3.51
Pb 0.5000 0.5000 0.0000  4 Sr 3.48, 4 Hg 3.50, 4 Pb 3.51

* Fermi-level density of states: 2.521 states/eV per cell
* calculated total energy: -2.6803 eV/atom
* energy of formation: -1.32 eV per formula unit

***

# 5
Density functional theory data (PBE) for crystalline TbGdScPa at its relaxed geometry.

Unit cell a=7.6898 b=7.6898 c=7.6898 alpha=90.00 beta=90.00 gamma=90.00
Closest atoms and distances in Å follow each position.
Space group F-43m (No. 216)
Inequivalent atoms, fractional coordinates:
Tb 0.0000 0.0000 0.0000  4 Pa 3.33, 4 Gd 3.33
Gd 0.2500 0.2500 0.7500  4 Tb 3.33, 4 Sc 3.33
Sc 0.0000 0.0000 0.5000  4 Gd 3.33, 4 Pa 3.33
Pa 0.2500 0.2500 0.2500  4 Tb 3.33, 4 Sc 3.33

* Fermi-level density of states: 34.615 states/eV per cell
* calculated total energy: -8.3215 eV/atom
* energy of formation: 1.25 eV per formula unit

***

# 6
Density functional theory data (PBE) for crystalline Mg2HgP at its relaxed geometry.

Unit cell a=3.8411 b=3.8411 c=5.7671 alpha=90.00 beta=90.00 gamma=90.00
Closest atoms and distances in Å follow each position.
Space group P4mm (No. 99)
Inequivalent atoms, fractional coordinates:
Mg 0.0000 0.0000 0.0000  1 P 2.59, 4 Hg 2.83
Mg 0.5000 0.5000 0.3742  4 P 2.75, 2 Hg 2.81-2.96
Hg 0.5000 0.5000 0.8610  6 Mg 2.81-2.96
P 0.0000 0.0000 0.4491  5 Mg 2.59-2.75

* Fermi-level density of states: 2.761 states/eV per cell
* calculated total energy: -2.3571 eV/atom
* energy of formation: -0.53 eV per formula unit

***

# 7
Density functional theory data (PBE) for crystalline CaY2NbNi at its relaxed geometry.

Unit cell a=5.5027 b=5.5027 c=4.6911 alpha=90.00 beta=90.00 gamma=90.00
Closest atoms and distances in Å follow each position.
Space group P4/mmm (No. 123)
Inequivalent atoms, fractional coordinates:
Ca 0.0000 0.0000 0.0000  8 Y 3.62, 4 Ni 3.89
Y 0.0000 0.5000 0.5000  2 Nb 2.75
Nb 0.5000 0.5000 0.5000  2 Ni 2.35
Ni 0.5000 0.5000 0.0000  2 Nb 2.35

* Fermi-level density of states: 4.015 states/eV per cell
* calculated total energy: -5.6292 eV/atom
* energy of formation: 2.63 eV per formula unit

***

# 8
Density functional theory data (PBE) for crystalline MgZnTc2 at its relaxed geometry.

Unit cell a=2.7379 b=4.3374 c=5.2890 alpha=90.00 beta=100.72 gamma=90.00
Closest atoms and distances in Å follow each position.
Space group Pm (No. 6)
Inequivalent atoms, fractional coordinates:
Mg 0.0000 0.0000 0.0000  4 Zn 2.71-2.99, 4 Tc 2.71-2.85, 2 Mg 2.74
Zn 0.3073 0.5000 0.7660  4 Mg 2.71-2.99, 2 Zn 2.74, 5 Tc 2.74-2.94
Tc 0.5236 0.0000 0.4888  4 Tc 2.51-2.74, 2 Mg 2.71-2.77, 2 Zn 2.74
Tc 0.7070 0.5000 0.2874  4 Tc 2.51-2.74, 2 Zn 2.75-2.77

* Fermi-level density of states: 2.601 states/eV per cell
* calculated total energy: -5.7759 eV/atom
* ΔE to the lowest computed polymorph: 0.70 eV/f.u.
* energy of formation: 0.50 eV per formula unit

***

# 9
Density functional theory data (PBE) for crystalline AgSn4Au at its relaxed geometry.

Unit cell a=5.6732 b=5.6732 c=9.2640 alpha=90.00 beta=90.00 gamma=90.00
Closest atoms and distances in Å follow each position.
Space group I-4m2 (No. 119)
Inequivalent atoms, fractional coordinates:
Ag 0.0000 0.0000 0.0000  6 Sn 2.89-2.92
Sn 0.0000 0.0000 0.3149  2 Au 2.90, 1 Ag 2.92, 2 Sn 3.06
Sn 0.0000 0.5000 0.0600  1 Au 2.87, 2 Ag 2.89, 2 Sn 3.06
Au 0.0000 0.5000 0.7500  6 Sn 2.87-2.90

* Fermi-level density of states: 5.367 states/eV per cell
* calculated total energy: -3.6801 eV/atom
* ΔE to the lowest computed polymorph: 0.28 eV/f.u.
* energy of formation: 0.06 eV per formula unit

***

# 10
Density functional theory data (PBE) for crystalline Nb3FeH at its relaxed geometry.

Unit cell a=4.5865 b=4.5865 c=4.5865 alpha=90.00 beta=90.00 gamma=90.00
Closest atoms and distances in Å follow each position.
Space group Pm-3m (No. 221)
Inequivalent atoms, fractional coordinates:
Nb 0.0000 0.0000 0.5000  2 Fe 2.29
Fe 0.0000 0.0000 0.0000  6 Nb 2.29
H 0.5000 0.5000 0.5000  12 Nb 3.24

* Fermi-level density of states: 5.104 states/eV per cell
* calculated total energy: -7.0433 eV/atom
* ΔE to the lowest computed polymorph: 5.90 eV/f.u.

***

# 11
Density functional theory data (PBE) for crystalline Ag2SnPb at its relaxed geometry.

Unit cell a=7.2165 b=7.2165 c=7.2165 alpha=90.00 beta=90.00 gamma=90.00
Closest atoms and distances in Å follow each position.
Space group Fm-3m (No. 225)
Inequivalent atoms, fractional coordinates:
Ag 0.2500 0.2500 0.2500  4 Pb 3.12, 4 Sn 3.12
Sn 0.0000 0.0000 0.0000  8 Ag 3.12
Pb 0.0000 0.0000 0.5000  8 Ag 3.12

* Fermi-level density of states: 4.967 states/eV per cell
* calculated total energy: -3.2610 eV/atom
* ΔE to the lowest computed polymorph: 0.00 eV/f.u.
* energy of formation: 0.37 eV per formula unit

***

# 12
Density functional theory data (PBE) for crystalline Rb3Ac3HfTe8 at its relaxed geometry.

Unit cell a=9.4202 b=9.4202 c=26.3378 alpha=90.00 beta=90.00 gamma=120.00
Closest atoms and distances in Å follow each position.
Space group R-3m (No. 166, hexagonal axes)
Inequivalent atoms, fractional coordinates:
Rb 0.0000 0.5000 0.0000  6 Te 3.69-3.73
Ac 0.0000 0.5000 0.5000  6 Te 3.32-3.35
Hf 0.0000 0.0000 0.5000  6 Te 2.96
Te 0.0000 0.0000 0.2387  3 Ac 3.32, 3 Rb 3.69
Te 0.0362 0.5181 0.2315  1 Hf 2.96

* uncorrected formation energy: -1.32 eV per atom
* calculated total energy: -4.6772 eV/atom

***

# 13
Density functional theory data (PBE) for crystalline Na8TiO6 at its relaxed geometry.

Unit cell a=6.7227 b=6.9524 c=9.5372 alpha=90.00 beta=90.00 gamma=90.00
Closest atoms and distances in Å follow each position.
Space group Pmn2_1 (No. 31)
Inequivalent atoms, fractional coordinates:
Na 0.0000 0.1657 0.0000  3 O 2.30-2.45
Na 0.0000 0.1994 0.4587  3 O 2.20-2.35
Na 0.1953 0.6641 0.1133  3 O 2.30-2.35, 1 Na 2.56
Na 0.2021 0.5839 0.7974  4 O 2.31-2.57, 1 Na 2.56
Na 0.2228 0.9613 0.7635  4 O 2.30-2.54
Ti 0.0000 0.7204 0.4668  4 O 1.83-1.89
O 0.0000 0.2593 0.2316  6 Na 2.21-2.43
O 0.0000 0.4958 0.5777  1 Ti 1.89
O 0.0000 0.7869 0.9365  6 Na 2.30-2.54
O 0.0000 0.9318 0.5819  1 Ti 1.83
O 0.2206 0.7312 0.3523  1 Ti 1.84

* Fermi-level density of states: 0.000 states/eV per cell
* uncorrected formation energy: -1.65 eV per atom
* calculated total energy: -4.8633 eV/atom
* ΔE to the lowest computed polymorph: 0.84 eV/f.u.

***

# 14
Density functional theory data (PBE) for crystalline La5Y6Er2 at its relaxed geometry.

Unit cell a=11.7480 b=20.8615 c=3.6375 alpha=90.00 beta=90.00 gamma=90.00
Closest atoms and distances in Å follow each position.
Space group Pbam (No. 55)
Inequivalent atoms, fractional coordinates:
La 0.0000 0.0000 0.0000  6 Y 3.42-3.60, 4 La 3.64-3.67
La 0.0791 0.2710 0.0000  5 Y 3.41-3.57, 4 Er 3.50-3.66, 2 La 3.64
La 0.2004 0.5493 0.0000  6 Y 3.59-3.67, 3 La 3.64-3.67, 2 Er 3.83
Y 0.0620 0.4180 0.5000  6 La 3.57-3.67, 5 Y 3.64-3.77, 1 Er 3.84
Y 0.0798 0.1311 0.5000  1 Er 3.34, 6 La 3.42-3.59, 4 Y 3.53-3.64
Y 0.1770 0.8594 0.0000  2 La 3.41-3.60, 6 Y 3.53-3.77, 2 Er 3.61
Er 0.1732 0.7100 0.5000  3 Y 3.34-3.61, 4 La 3.50-3.66, 2 Er 3.64

* Fermi-level density of states: 34.147 states/eV per cell
* calculated total energy: -5.4853 eV/atom
* energy of formation: 1.24 eV per formula unit